Below is an optimized crystal structure of AcDy4HoTm2, with properties calculated at the PBE level.

a b c (Å): 5.0452 5.0743 10.1501
angles (deg): 90.00 90.00 90.00
Space group Pmmm (No. 47)
Unique sites:
Ac (0.0000, 0.0000, 0.0000) (multiplicity 1)
Dy (0.0000, 0.5000, 0.2589) (multiplicity 2)
Dy (0.5000, 0.0000, 0.2594) (multiplicity 2)
Ho (0.5000, 0.5000, 0.5000) (multiplicity 1)
Tm (0.0000, 0.0000, 0.5000) (multiplicity 1)
Tm (0.5000, 0.5000, 0.0000) (multiplicity 1)

## Properties
- energy relative to the elements (eV per atom) = 0.045
- M_tot (μB per atom) = 0.00